Entry 1:
{
  "formula": "Sc2CoSi",
  "functional": "GGA-PBEsol",
  "state": "relaxed",
  "m_tot_mub_per_fu": 0.0,
  "n_ef_per_ev_atom": 0.99,
  "energy_ev_per_atom": -7.28,
  "space_group": "No. 38",
  "cell": [[3.412, 0.000, 0.000], [0.000, 3.945, 0.000], [-1.706, 0.000, 4.966]],
  "species": ["Si", "Sc", "Sc", "Co"],
  "frac_coords": [[0.812, 0.000, 0.624], [0.100, 0.000, 0.200], [0.390, 0.500, 0.779], [0.680, 0.500, 0.361]]
}

***

Entry 2:
{
  "formula": "ScCo2Si2",
  "functional": "GGA-PBEsol",
  "state": "relaxed",
  "m_tot_mub_per_fu": 0.0,
  "n_ef_per_ev_atom": 0.47,
  "energy_ev_per_atom": -7.57,
  "space_group": "No. 139",
  "cell": [[-1.818, 0.158, -3.250], [2.323, -2.543, -1.423], [-3.164, -2.283, 3.796]],
  "species": ["Co", "Co", "Sc", "Si", "Si"],
  "frac_coords": [[0.250, 0.750, 0.500], [0.750, 0.250, 0.500], [0.000, 0.000, 0.000], [0.624, 0.624, 0.248], [0.376, 0.376, 0.752]]
}

***

Entry 3:
{
  "formula": "Sc5Co4Si10",
  "functional": "GGA-PBEsol",
  "state": "relaxed",
  "m_tot_mub_per_fu": 0.0,
  "n_ef_per_ev_atom": 0.48,
  "energy_ev_per_atom": -7.22,
  "space_group": "No. 127",
  "cell": [[-0.923, 3.008, -2.296], [-2.836, -7.541, -8.738], [-11.193, -0.398, 3.976]],
  "species": ["Si", "Si", "Si", "Si", "Si", "Si", "Si", "Si", "Si", "Si", "Si", "Si", "Si", "Si", "Si", "Si", "Si", "Si", "Si", "Si", "Sc", "Sc", "Sc", "Sc", "Sc", "Sc", "Sc", "Sc", "Sc", "Sc", "Co", "Co", "Co", "Co", "Co", "Co", "Co", "Co"],
  "frac_coords": [[0.500, 0.999, 0.165], [0.000, 0.569, 0.931], [0.000, 0.844, 0.802], [0.500, 0.835, 0.999], [0.000, 0.431, 0.069], [0.500, 0.165, 0.001], [0.000, 0.931, 0.431], [0.500, 0.501, 0.665], [0.000, 0.698, 0.656], [0.000, 0.656, 0.302], [0.000, 0.802, 0.156], [0.000, 0.069, 0.569], [0.000, 0.344, 0.698], [0.000, 0.198, 0.844], [0.500, 0.001, 0.835], [0.500, 0.499, 0.335], [0.500, 0.665, 0.499], [0.000, 0.302, 0.344], [0.000, 0.156, 0.198], [0.500, 0.335, 0.501], [0.000, 0.500, 0.500], [0.000, 0.000, 0.000], [0.500, 0.677, 0.823], [0.500, 0.177, 0.677], [0.500, 0.111, 0.389], [0.500, 0.389, 0.889], [0.500, 0.823, 0.323], [0.500, 0.323, 0.177], [0.500, 0.611, 0.111], [0.500, 0.889, 0.611], [0.000, 0.525, 0.746], [0.000, 0.025, 0.754], [0.000, 0.475, 0.254], [0.000, 0.975, 0.246], [0.000, 0.746, 0.475], [0.000, 0.254, 0.525], [0.000, 0.754, 0.975], [0.000, 0.246, 0.025]]
}

***

Entry 4:
{
  "formula": "Sc3Co2Si3",
  "functional": "GGA-PBEsol",
  "state": "relaxed",
  "m_tot_mub_per_fu": 0.0,
  "n_ef_per_ev_atom": 0.63,
  "energy_ev_per_atom": -7.46,
  "space_group": "No. 63",
  "cell": [[3.886, 0.000, 0.000], [-1.943, 4.915, 0.000], [0.000, 0.000, 12.683]],
  "species": ["Si", "Si", "Si", "Si", "Si", "Si", "Co", "Co", "Co", "Co", "Sc", "Sc", "Sc", "Sc", "Sc", "Sc"],
  "frac_coords": [[0.164, 0.328, 0.250], [0.886, 0.772, 0.041], [0.836, 0.672, 0.750], [0.114, 0.228, 0.541], [0.114, 0.228, 0.959], [0.886, 0.772, 0.459], [0.716, 0.432, 0.583], [0.716, 0.432, 0.917], [0.284, 0.568, 0.083], [0.284, 0.568, 0.417], [0.579, 0.159, 0.387], [0.421, 0.841, 0.613], [0.421, 0.841, 0.887], [0.857, 0.715, 0.250], [0.579, 0.159, 0.113], [0.143, 0.285, 0.750]]
}

***

Entry 5:
{
  "formula": "ScCoSiTc2",
  "functional": "GGA-PBEsol",
  "state": "relaxed",
  "m_tot_mub_per_fu": 1.1,
  "n_ef_per_ev_atom": 1.36,
  "energy_ev_per_atom": -8.21,
  "space_group": "No. 123",
  "cell": [[-3.295, 2.260, 0.929], [-1.875, -1.162, -3.823], [-1.842, -3.496, 1.966]],
  "species": ["Co", "Tc", "Tc", "Sc", "Si"],
  "frac_coords": [[0.500, 0.000, 0.000], [0.000, 0.000, 0.500], [0.000, 0.500, 0.000], [0.500, 0.500, 0.500], [0.000, 0.000, 0.000]]
}

***

Entry 6:
{
  "formula": "ScCoSn",
  "functional": "GGA-PBEsol",
  "state": "relaxed",
  "m_tot_mub_per_fu": 0.0,
  "n_ef_per_ev_atom": 0.62,
  "energy_ev_per_atom": -6.73,
  "space_group": "No. 62",
  "cell": [[-2.329, -3.282, 1.565], [1.399, -3.412, -5.074], [6.119, -2.679, 3.489]],
  "species": ["Sc", "Sc", "Sc", "Sc", "Sn", "Sn", "Sn", "Sn", "Co", "Co", "Co", "Co"],
  "frac_coords": [[0.250, 0.516, 0.199], [0.750, 0.984, 0.699], [0.250, 0.016, 0.301], [0.750, 0.484, 0.801], [0.750, 0.317, 0.422], [0.250, 0.183, 0.922], [0.250, 0.683, 0.578], [0.750, 0.817, 0.078], [0.750, 0.244, 0.093], [0.250, 0.756, 0.907], [0.750, 0.744, 0.407], [0.250, 0.256, 0.593]]
}

***

Entry 7:
{
  "formula": "Sc2CoSnW",
  "functional": "GGA-PBEsol",
  "state": "relaxed",
  "m_tot_mub_per_fu": 0.0,
  "n_ef_per_ev_atom": 0.77,
  "energy_ev_per_atom": -7.11,
  "space_group": "No. 123",
  "cell": [[-1.230, -0.783, 4.130], [-0.481, -4.866, -1.066], [4.779, -0.753, 1.280]],
  "species": ["Sc", "Sc", "Co", "W", "Sn"],
  "frac_coords": [[0.000, 0.500, 0.000], [0.000, 0.000, 0.500], [0.500, 0.000, 0.000], [0.000, 0.000, 0.000], [0.500, 0.500, 0.500]]
}

***

Entry 8:
{
  "formula": "SrSc2Co",
  "functional": "GGA-PBEsol",
  "state": "relaxed",
  "m_tot_mub_per_fu": 0.0,
  "n_ef_per_ev_atom": 1.02,
  "energy_ev_per_atom": -5.53,
  "space_group": "No. 166",
  "cell": [[3.621, 0.000, 0.000], [1.811, 3.136, 0.000], [1.811, 1.045, 9.776]],
  "species": ["Sc", "Sc", "Co", "Sr"],
  "frac_coords": [[0.122, 0.122, 0.633], [0.878, 0.878, 0.367], [0.500, 0.500, 0.500], [0.000, 0.000, 0.000]]
}

***

Entry 9:
{
  "formula": "Sr2ScCo",
  "functional": "GGA-PBEsol",
  "state": "relaxed",
  "m_tot_mub_per_fu": 2.0,
  "n_ef_per_ev_atom": 2.04,
  "relative_energy_mev_per_atom": 319,
  "space_group": "No. 123",
  "cell": [[3.546, 0.000, 0.000], [0.000, 3.546, 0.000], [0.000, 0.000, 9.011]],
  "species": ["Sr", "Sr", "Sc", "Co"],
  "frac_coords": [[0.000, 0.000, 0.194], [0.000, 0.000, 0.806], [0.500, 0.500, 0.500], [0.500, 0.500, 0.000]]
}

***

Entry 10:
{
  "formula": "SrScCo2",
  "functional": "GGA-PBEsol",
  "state": "relaxed",
  "m_tot_mub_per_fu": 0.9,
  "n_ef_per_ev_atom": 0.98,
  "energy_ev_per_atom": -5.95,
  "space_group": "No. 8",
  "cell": [[3.836, 0.000, 0.000], [-1.918, 3.320, -0.043], [0.000, -2.135, 7.049]],
  "species": ["Co", "Co", "Sr", "Sc"],
  "frac_coords": [[0.717, 0.434, 0.151], [0.051, 0.102, 0.153], [0.278, 0.556, 0.836], [0.454, 0.908, 0.361]]
}

***

Entry 11:
{
  "formula": "Sr2ScCo",
  "functional": "GGA-PBEsol",
  "state": "relaxed",
  "m_tot_mub_per_fu": 0.0,
  "n_ef_per_ev_atom": 0.83,
  "relative_energy_mev_per_atom": 0,
  "space_group": "No. 44",
  "cell": [[3.581, 0.000, 0.000], [0.000, 5.887, 0.000], [-1.790, -2.944, 5.482]],
  "species": ["Co", "Sc", "Sr", "Sr"],
  "frac_coords": [[0.471, 0.471, 0.943], [0.832, 0.332, 0.665], [0.008, 0.008, 0.015], [0.189, 0.689, 0.377]]
}

***

Entry 12:
{
  "formula": "Sr2ScCo",
  "functional": "GGA-PBEsol",
  "state": "relaxed",
  "m_tot_mub_per_fu": 0.1,
  "n_ef_per_ev_atom": 1.51,
  "relative_energy_mev_per_atom": 483,
  "space_group": "No. 139",
  "cell": [[-3.195, 0.204, 3.190], [-0.495, -4.488, -0.209], [5.477, 1.570, 2.184]],
  "species": ["Sc", "Sr", "Sr", "Co"],
  "frac_coords": [[0.000, 0.000, 0.000], [0.750, 0.250, 0.500], [0.250, 0.750, 0.500], [0.500, 0.500, 0.000]]
}